Cd2Ni2RhO6: relaxed, PBE with a Hubbard U.

## Properties
* VASP energy: -4.897 eV/atom
* DOS(E_F): 4.37 states/eV/f.u.

a = 5.385 Å, b = 9.118 Å, c = 5.676 Å
α = 90.00°, β = 108.58°, γ = 90.00°
Space group C2/m (No. 12)
Asymmetric unit:
Cd (0.000, 0.172, 0.000)
Ni (0.000, 0.338, 0.500)
Rh (0.000, 0.000, 0.500)
O (0.220, 0.167, 0.703)
O (0.247, 0.000, 0.293)